Entry 1:
# UCuAu2 (GGA-PBE, optimized geometry)
data_UCuAu2
_chemical_formula_sum 'U3 Cu3 Au6'
_cell_length_a 4.5047
_cell_length_b 4.5047
_cell_length_c 13.8189
_cell_angle_alpha 90.00
_cell_angle_beta 90.00
_cell_angle_gamma 120.00
_space_group_name_H-M_alt 'R -3 m'
_space_group_IT_number 166
_space_group_name_Hall '-R 3 2"'
loop_
_atom_site_label
_atom_site_type_symbol
_atom_site_fract_x
_atom_site_fract_y
_atom_site_fract_z
U1 U 0.0000 0.0000 0.0000
Cu1 Cu 0.0000 0.0000 0.5000
Au1 Au 0.0000 0.0000 0.2253
# Energy relative to the elements in meV/atom: -54
# Distance to the lowest polymorph of the same formula in meV/atom: 18.6
# Size of the total moment in μB/atom: 0.664

---

Entry 2:
# UCuAu2 (GGA-PBE, optimized geometry)
data_UCuAu2
_chemical_formula_sum 'U1 Cu1 Au2'
_cell_length_a 3.1879
_cell_length_b 3.1879
_cell_length_c 7.3082
_cell_angle_alpha 90.00
_cell_angle_beta 90.00
_cell_angle_gamma 90.00
_space_group_name_H-M_alt 'P 4/m m m'
_space_group_IT_number 123
_space_group_name_Hall '-P 4 2'
loop_
_atom_site_label
_atom_site_type_symbol
_atom_site_fract_x
_atom_site_fract_y
_atom_site_fract_z
U1 U 0.0000 0.0000 0.0000
Cu1 Cu 0.0000 0.0000 0.5000
Au1 Au 0.5000 0.5000 0.2922
# Energy relative to the elements in meV/atom: -73
# Distance to the lowest polymorph of the same formula in meV/atom: 0.0
# Size of the total moment in μB/atom: 0.668

---

Entry 3:
# UZn2CuAu4 (GGA-PBE, optimized geometry)
data_UZn2CuAu4
_chemical_formula_sum 'U3 Zn6 Cu3 Au12'
_cell_length_a 4.4912
_cell_length_b 4.4912
_cell_length_c 25.1900
_cell_angle_alpha 90.00
_cell_angle_beta 90.00
_cell_angle_gamma 120.00
_space_group_name_H-M_alt 'R -3 m'
_space_group_IT_number 166
_space_group_name_Hall '-R 3 2"'
loop_
_atom_site_label
_atom_site_type_symbol
_atom_site_fract_x
_atom_site_fract_y
_atom_site_fract_z
U1 U 0.0000 0.0000 0.0000
Zn1 Zn 0.0000 0.0000 0.2420
Cu1 Cu 0.0000 0.0000 0.5000
Au1 Au 0.0000 0.0000 0.1303
Au2 Au 0.0000 0.0000 0.3938
# Energy relative to the elements in meV/atom: -137
# Size of the total moment in μB/atom: 0.317

---

Entry 4:
# V2Cu2Au (GGA-PBE, optimized geometry)
data_V2Cu2Au
_chemical_formula_sum 'V4 Cu4 Au2'
_cell_length_a 7.3939
_cell_length_b 7.3939
_cell_length_c 2.6272
_cell_angle_alpha 90.00
_cell_angle_beta 90.00
_cell_angle_gamma 90.00
_space_group_name_H-M_alt 'P 4/m b m'
_space_group_IT_number 127
_space_group_name_Hall '-P 4 2ab'
loop_
_atom_site_label
_atom_site_type_symbol
_atom_site_fract_x
_atom_site_fract_y
_atom_site_fract_z
V1 V 0.1134 0.3866 0.0000
Cu1 Cu 0.1789 0.6789 0.5000
Au1 Au 0.0000 0.0000 0.0000
# Energy relative to the elements in meV/atom: 320
# Distance to the lowest polymorph of the same formula in meV/atom: 97.4
# Size of the total moment in μB/atom: 0.003

---

Look up the energy relative to the elements of the second one. -73 meV/atom